First-principles (PBE-GGA) data for K3Tl3GeI8 after structural relaxation, as listed in Alexandria.

a b c (Å): 10.0319 10.0324 10.0001
angles (deg): 120.12 90.00 120.00
Sites, in units of the cell vectors:
1 I 0.2506 0.5011 0.2519
2 I 0.7494 0.4989 0.7481
3 I 0.7829 0.9997 0.7166
4 Tl 0.0000 0.0000 0.0000
5 K 0.5000 0.5000 0.5000
6 I 0.7831 0.5661 0.2831
7 Tl 0.5000 0.5000 0.0000
8 K 0.5000 0.0000 0.5000
9 I 0.2169 0.4339 0.7169
10 I 0.7832 0.0003 0.2834
11 Ge 0.0000 0.0000 0.5000
12 K 0.0000 0.5000 0.5000
13 I 0.2168 0.9997 0.7166
14 I 0.2171 0.0003 0.2834
15 Tl 0.0000 0.5000 0.0000

Values from the calculation:
SG: R-3m (166)
Uncorrected formation energy in eV/f.u.: -13.72